# 1
Here is crystalline Tb2DyIn3Hg6 at its relaxed geometry from the Alexandria database. Energies are from GGA-PBE.

Calculated values
DFT formation energy = -0.06 eV/atom
Symmetry = P4/mmm
Crystal system = tetragonal

```
Tb2DyIn3Hg6
1.0
4.2248 0.0000 0.0000
0.0000 4.2248 0.0000
0.0000 0.0000 20.3853
Tb Dy In Hg
2 1 3 6
direct
0.0000 0.0000 0.2157
0.0000 0.0000 0.7843
0.0000 0.0000 0.5000
0.5000 0.5000 0.0000
0.5000 0.5000 0.2781
0.5000 0.5000 0.7219
0.0000 0.5000 0.3875
0.0000 0.5000 0.6125
0.5000 0.0000 0.3875
0.5000 0.0000 0.6125
0.5000 0.5000 0.1364
0.5000 0.5000 0.8636
```



# 2
Here is crystalline Er8AgPd2 at its relaxed geometry from the Alexandria database. Energies are from GGA-PBE.

Calculated values
DFT formation energy = -0.28 eV/atom
Symmetry = Cm
Offset from the most stable computed form = 100.6 meV/atom
Crystal system = monoclinic

```
Er8AgPd2
1.0
4.2168 -6.6451 0.0000
4.2168 6.6451 0.0000
-1.5781 0.0000 5.3030
Er Ag Pd
8 1 2
direct
0.0000 0.0000 0.0000
0.0489 0.2979 0.5947
0.1482 0.6133 0.1880
0.2979 0.0489 0.5947
0.4637 0.7127 0.7821
0.6133 0.1482 0.1880
0.7127 0.4637 0.7821
0.7613 0.7613 0.3765
0.3809 0.3809 0.1783
0.0782 0.6832 0.6879
0.6832 0.0782 0.6879
```



# 3
Here is crystalline CrCo2Rh at its relaxed geometry from the Alexandria database. Energies are from GGA-PBE.

Calculated values
DFT formation energy = 0.45 eV/atom
Symmetry = I-42d
Crystal system = tetragonal

```
CrCo2Rh
1.0
-1.7604 1.7604 8.5844
1.7604 -1.7604 8.5844
1.7604 1.7604 -8.5844
Cr Co Rh
2 4 2
direct
0.0000 0.0000 0.0000
0.7500 0.2500 0.5000
0.1174 0.6250 0.9924
0.3750 0.3674 0.4924
0.6326 0.1250 0.0076
0.8750 0.8826 0.5076
0.2500 0.7500 0.5000
0.5000 0.5000 0.0000
```



# 4
Here is crystalline Zn2FeCo at its relaxed geometry from the Alexandria database. Energies are from GGA-PBE.

Calculated values
DFT formation energy = 0.02 eV/atom
Symmetry = C2/m
Offset from the most stable computed form = 32.6 meV/atom
Crystal system = monoclinic

```
Zn2FeCo
1.0
4.5256 -1.5134 0.0000
4.5256 1.5134 0.0000
-1.7037 0.0000 3.6715
Zn Fe Co
2 1 1
direct
0.2461 0.2461 0.2459
0.7539 0.7539 0.7541
0.0000 0.0000 0.5000
0.5000 0.5000 0.0000
```



# 5
Here is crystalline Pr6CdSn2 at its relaxed geometry from the Alexandria database. Energies are from GGA-PBE.

Calculated values
DFT formation energy = -0.42 eV/atom
Symmetry = P-62m
Crystal system = hexagonal

```
Pr6CdSn2
1.0
8.7512 0.0000 0.0000
-4.3756 7.5787 0.0000
0.0000 0.0000 4.3858
Pr Cd Sn
6 1 2
direct
0.0000 0.4053 0.0000
0.0000 0.7281 0.5000
0.2719 0.2719 0.5000
0.4053 0.0000 0.0000
0.5947 0.5947 0.0000
0.7281 0.0000 0.5000
0.0000 0.0000 0.0000
0.3333 0.6667 0.5000
0.6667 0.3333 0.5000
```



# 6
Here is crystalline Rb3BaPb at its relaxed geometry from the Alexandria database. Energies are from GGA-PBE.

Calculated values
DFT formation energy = 0.21 eV/atom
Symmetry = Pm-3m
Offset from the most stable computed form = 0.0 meV/atom
Crystal system = cubic

```
Rb3BaPb
1.0
7.2500 0.0000 0.0000
0.0000 7.2500 0.0000
0.0000 0.0000 7.2500
Rb Ba Pb
3 1 1
direct
0.0000 0.0000 0.5000
0.0000 0.5000 0.0000
0.5000 0.0000 0.0000
0.5000 0.5000 0.5000
0.0000 0.0000 0.0000
```



# 7
Here is crystalline KSrMg6 at its relaxed geometry from the Alexandria database. Energies are from GGA-PBE.

Calculated values
DFT formation energy = 0.15 eV/atom
Symmetry = Amm2
Offset from the most stable computed form = 56.7 meV/atom
Crystal system = orthorhombic

```
KSrMg6
1.0
5.2674 0.0000 0.0000
0.0000 3.4202 6.7757
0.0000 -3.4202 6.7757
K Sr Mg
1 1 6
direct
0.0000 0.0000 0.0000
0.0000 0.5011 0.5011
0.0000 0.0040 0.5009
0.0000 0.5009 0.0040
0.5000 0.3247 0.3247
0.5000 0.3850 0.8737
0.5000 0.8247 0.8247
0.5000 0.8737 0.3850
```



# 8
Here is crystalline MgBeTl at its relaxed geometry from the Alexandria database. Energies are from GGA-PBE.

Calculated values
DFT formation energy = 0.41 eV/atom
Symmetry = I4mm
Offset from the most stable computed form = 240.4 meV/atom
Crystal system = tetragonal

```
MgBeTl
1.0
-1.6001 1.6001 5.7765
1.6001 -1.6001 5.7765
1.6001 1.6001 -5.7765
Mg Be Tl
1 1 1
direct
0.0000 0.0000 0.0000
0.3674 0.3674 0.0000
0.7144 0.7144 0.0000
```



# 9
Here is crystalline Si3BPb at its relaxed geometry from the Alexandria database. Energies are from GGA-PBE.

Calculated values
Symmetry = Pm-3m
Offset from the most stable computed form = 1653.5 meV/atom
Formation energy without anion corrections = 2.396 eV/atom
Crystal system = cubic

```
Si3BPb
1.0
5.3089 0.0000 0.0000
0.0000 5.3089 0.0000
0.0000 0.0000 5.3089
Si B Pb
3 1 1
direct
0.0000 0.0000 0.5000
0.0000 0.5000 0.0000
0.5000 0.0000 0.0000
0.5000 0.5000 0.5000
0.0000 0.0000 0.0000
```



# 10
Here is crystalline FeMoHRh2 at its relaxed geometry from the Alexandria database. Energies are from GGA-PBE.

Calculated values
Symmetry = P4/mmm
Offset from the most stable computed form = 15.6 meV/atom
Crystal system = tetragonal

```
FeMoHRh2
1.0
3.8538 0.0000 0.0000
0.0000 3.8538 0.0000
0.0000 0.0000 3.9540
Fe Mo H Rh
1 1 1 2
direct
0.0000 0.0000 0.0000
0.5000 0.5000 0.0000
0.5000 0.5000 0.5000
0.0000 0.5000 0.5000
0.5000 0.0000 0.5000
```



# 11
Here is crystalline KPbBrF2 at its relaxed geometry from the Alexandria database. Energies are from GGA-PBE.

Calculated values
Symmetry = P4/mmm
Formation energy without anion corrections = -2.031 eV/atom
Crystal system = tetragonal

```
KPbBrF2
1.0
4.8141 0.0000 0.0000
0.0000 4.8141 0.0000
0.0000 0.0000 6.2179
K Pb Br F
1 1 1 2
direct
0.0000 0.0000 0.0000
0.5000 0.5000 0.5000
0.5000 0.5000 0.0000
0.0000 0.5000 0.5000
0.5000 0.0000 0.5000
```



# 12
Here is crystalline Pm3GaTe2 at its relaxed geometry from the Alexandria database. Energies are from GGA-PBE.

Calculated values
Symmetry = Immm
Formation energy without anion corrections = -1.172 eV/atom
Crystal system = orthorhombic

```
Pm3GaTe2
1.0
-2.1637 3.1213 6.7630
2.1637 -3.1213 6.7630
2.1637 3.1213 -6.7630
Pm Ga Te
3 1 2
direct
0.0000 0.0000 0.0000
0.3445 0.3445 0.0000
0.6555 0.6555 0.0000
0.5000 0.0000 0.5000
0.1713 0.6713 0.5000
0.8287 0.3287 0.5000
```



# 13
Here is crystalline Li3Ga9Au2 at its relaxed geometry from the Alexandria database. Energies are from GGA-PBE.

Calculated values
DFT formation energy = -0.23 eV/atom
Symmetry = Immm
Crystal system = orthorhombic

```
Li3Ga9Au2
1.0
-2.0753 5.0555 6.0304
2.0753 -5.0555 6.0304
2.0753 5.0555 -6.0304
Li Ga Au
3 9 2
direct
0.0000 0.0000 0.0000
0.3022 0.3022 0.0000
0.6978 0.6978 0.0000
0.0246 0.6477 0.3769
0.1356 0.8509 0.2847
0.2708 0.6477 0.6231
0.4338 0.1491 0.2847
0.5000 0.0000 0.5000
0.5662 0.8509 0.7153
0.7292 0.3523 0.3769
0.8644 0.1491 0.7153
0.9754 0.3523 0.6231
0.3266 0.5000 0.8266
0.6734 0.5000 0.1734
```



# 14
Here is crystalline AcLaSO2 at its relaxed geometry from the Alexandria database. Energies are from GGA-PBE.

Calculated values
Symmetry = I4mm
Formation energy without anion corrections = -3.057 eV/atom
Crystal system = tetragonal

```
AcLaSO2
1.0
-2.0184 2.0184 6.4323
2.0184 -2.0184 6.4323
2.0184 2.0184 -6.4323
Ac La S O
1 1 1 2
direct
0.0000 0.0000 0.0000
0.7026 0.7026 0.0000
0.3563 0.3563 0.0000
0.1081 0.6081 0.5000
0.6081 0.1081 0.5000
```



# 15
Here is crystalline LiCdBr2 at its relaxed geometry from the Alexandria database. Energies are from GGA-PBE.

Calculated values
Symmetry = C2/m
Offset from the most stable computed form = 71.3 meV/atom
Formation energy without anion corrections = -0.789 eV/atom
Crystal system = monoclinic

```
LiCdBr2
1.0
4.1185 -3.9767 0.0000
4.1185 3.9767 0.0000
-2.0787 0.0000 3.8474
Li Cd Br
1 1 2
direct
0.0000 0.0000 0.0000
0.5000 0.5000 0.0000
0.0000 0.5000 0.0000
0.5000 0.0000 0.0000
```



# 16
Here is crystalline La4Tb9Y11 at its relaxed geometry from the Alexandria database. Energies are from GGA-PBE.

Calculated values
DFT formation energy = 0.07 eV/atom
Symmetry = Cmmm
Crystal system = orthorhombic

```
La4Tb9Y11
1.0
8.4284 -12.6311 0.0000
8.4284 12.6311 0.0000
0.0000 0.0000 3.7472
La Tb Y
4 9 11
direct
0.0537 0.2518 0.0000
0.2518 0.0537 0.0000
0.7482 0.9463 0.0000
0.9463 0.7482 0.0000
0.0000 0.0000 0.0000
0.1355 0.6612 0.0000
0.2888 0.4351 0.0000
0.3388 0.8645 0.0000
0.4351 0.2888 0.0000
0.5649 0.7112 0.0000
0.6612 0.1355 0.0000
0.7112 0.5649 0.0000
0.8645 0.3388 0.0000
0.0926 0.4548 0.5000
0.1391 0.8609 0.5000
0.2190 0.2190 0.5000
0.3411 0.6589 0.5000
0.4548 0.0926 0.5000
0.5000 0.5000 0.5000
0.5452 0.9074 0.5000
0.6589 0.3411 0.5000
0.7810 0.7810 0.5000
0.8609 0.1391 0.5000
0.9074 0.5452 0.5000
```



# 17
Here is crystalline LaCoNi2 at its relaxed geometry from the Alexandria database. Energies are from GGA-PBE.

Calculated values
DFT formation energy = 0.08 eV/atom
Symmetry = I-42d
Crystal system = tetragonal

```
LaCoNi2
1.0
-2.2177 2.2177 7.8786
2.2177 -2.2177 7.8786
2.2177 2.2177 -7.8786
La Co Ni
2 2 4
direct
0.0000 0.0000 0.0000
0.7500 0.2500 0.5000
0.2500 0.7500 0.5000
0.5000 0.5000 0.0000
0.3157 0.6250 0.1907
0.3750 0.5657 0.6907
0.4343 0.1250 0.8093
0.8750 0.6843 0.3093
```



# 18
Here is crystalline UH10Se2O14 at its relaxed geometry from the Alexandria database. Energies are from GGA-PBE.

Calculated values
Symmetry = P2_1/c
Crystal system = monoclinic
Total DFT energy (no corrections) = -5.70 eV/atom

```
UH10Se2O14
1.0
8.3815 0.0000 0.0000
0.0000 11.5020 0.0000
-5.3233 0.0000 12.9186
U H Se O
4 40 8 56
direct
0.0443 0.1912 0.1772
0.0443 0.3088 0.6772
0.9557 0.6912 0.3228
0.9557 0.8088 0.8228
0.1671 0.0374 0.3968
0.1671 0.4626 0.8968
0.2748 0.5238 0.0084
0.2748 0.9762 0.5084
0.3347 0.1880 0.0537
0.3347 0.3120 0.5537
0.3426 0.6058 0.7782
0.3426 0.8942 0.2782
0.3509 0.5387 0.9028
0.3509 0.9613 0.4028
0.3652 0.6652 0.5958
0.3652 0.8348 0.0958
0.4469 0.0933 0.8595
0.4469 0.4067 0.3595
0.4628 0.6733 0.8803
0.4628 0.8267 0.3803
0.4792 0.6320 0.3793
0.4792 0.8680 0.8793
0.4994 0.1757 0.9715
0.4994 0.3243 0.4715
0.5006 0.6757 0.5285
0.5006 0.8243 0.0285
0.5208 0.1320 0.1207
0.5208 0.3680 0.6207
0.5372 0.1733 0.6197
0.5372 0.3267 0.1197
0.5531 0.5933 0.6405
0.5531 0.9067 0.1405
0.6348 0.1652 0.9042
0.6348 0.3348 0.4042
0.6491 0.0387 0.5972
0.6491 0.4613 0.0972
0.6574 0.1058 0.7218
0.6574 0.3942 0.2218
0.6653 0.6880 0.4463
0.6653 0.8120 0.9463
0.7252 0.0238 0.4916
0.7252 0.4762 0.9916
0.8329 0.5374 0.1032
0.8329 0.9626 0.6032
0.0016 0.1264 0.9006
0.0016 0.3736 0.4006
0.2051 0.5114 0.1896
0.2051 0.9886 0.6896
0.7949 0.0114 0.3104
0.7949 0.4886 0.8104
0.9984 0.6264 0.5994
0.9984 0.8736 0.0994
0.0250 0.5678 0.2015
0.0250 0.9322 0.7015
0.0663 0.5128 0.4115
0.0663 0.9872 0.9115
0.0874 0.1923 0.8247
0.0874 0.3077 0.3247
0.1015 0.1878 0.0178
0.1015 0.3122 0.5178
0.1619 0.1272 0.6514
0.1619 0.3728 0.1514
0.1736 0.7431 0.3868
0.1736 0.7569 0.8868
0.2113 0.6397 0.6454
0.2113 0.8603 0.1454
0.2446 0.5878 0.1015
0.2446 0.9122 0.6015
0.2575 0.1316 0.2388
0.2575 0.3684 0.7388
0.2860 0.0166 0.4464
0.2860 0.4834 0.9464
0.3669 0.5162 0.3066
0.3669 0.9838 0.8066
0.4248 0.5944 0.8506
0.4248 0.9056 0.3506
0.4599 0.1917 0.0672
0.4599 0.3083 0.5672
0.4869 0.6659 0.5993
0.4869 0.8341 0.0993
0.5131 0.1659 0.9007
0.5131 0.3341 0.4007
0.5401 0.6917 0.4328
0.5401 0.8083 0.9328
0.5752 0.0944 0.6494
0.5752 0.4056 0.1494
0.6331 0.0162 0.1934
0.6331 0.4838 0.6934
0.7140 0.5166 0.0536
0.7140 0.9834 0.5536
0.7425 0.6316 0.2612
0.7425 0.8684 0.7612
0.7554 0.0878 0.3985
0.7554 0.4122 0.8985
0.7887 0.1397 0.8546
0.7887 0.3603 0.3546
0.8264 0.2431 0.1132
0.8264 0.2569 0.6132
0.8381 0.6272 0.8486
0.8381 0.8728 0.3486
0.8985 0.6878 0.4822
0.8985 0.8122 0.9822
0.9126 0.6923 0.6753
0.9126 0.8077 0.1753
0.9337 0.0128 0.0885
0.9337 0.4872 0.5885
0.9750 0.0678 0.2985
0.9750 0.4322 0.7985
```



# 19
Here is crystalline K7Au at its relaxed geometry from the Alexandria database. Energies are from GGA-PBE.

Calculated values
DFT formation energy = 0.04 eV/atom
Symmetry = Fm-3m
Offset from the most stable computed form = 65.9 meV/atom
Crystal system = cubic

```
K7Au
1.0
0.0000 6.1636 6.1636
6.1636 0.0000 6.1636
6.1636 6.1636 0.0000
K Au
7 1
direct
0.0000 0.0000 0.0000
0.0000 0.0000 0.5000
0.0000 0.5000 0.0000
0.0000 0.5000 0.5000
0.5000 0.0000 0.0000
0.5000 0.0000 0.5000
0.5000 0.5000 0.0000
0.5000 0.5000 0.5000
```